Sr2Hg2Pt | GGA-PBE | optimized geometry

Space group: No. 139
Energy of formation from the pure elements in kJ per mole of atoms: -29.6
ΔE to the lowest computed polymorph in meV per atom: 309.6
Theoretical density in g/cm³: 8.1
Total magnetic moment in μB/f.u.: 0.0

abc: 5.986 5.986 5.986
angles: 117.16 117.16 95.00
Positions (direct):
Sr: 0.250 0.750 0.500
Sr: 0.750 0.250 0.500
Hg: 0.168 0.168 0.000
Hg: 0.832 0.832 0.000
Pt: 0.500 0.500 0.000

---

ZnIr2Rh | GGA-PBE | optimized geometry

Space group: No. 166
Energy of formation from the pure elements in kJ per mole of atoms: -2.2
Theoretical density in g/cm³: 16.0
Total magnetic moment in μB/f.u.: 0.0

abc: 8.877 8.877 8.877
angles: 17.85 17.85 17.85
Positions (direct):
Zn: 0.000 0.000 0.000
Ir: 0.250 0.250 0.250
Ir: 0.750 0.750 0.750
Rh: 0.500 0.500 0.500

---

Pm2Nd2Dy | GGA-PBE | optimized geometry

Space group: No. 15
Energy of formation from the pure elements in kJ per mole of atoms: 21.8
ΔE to the lowest computed polymorph in meV per atom: 197.1
Theoretical density in g/cm³: 6.9
Total magnetic moment in μB/f.u.: 0.0

abc: 6.556 6.556 8.999
angles: 104.55 104.55 97.83
Positions (direct):
Pm: 0.000 0.000 0.000
Pm: 0.000 0.000 0.500
Pm: 0.000 0.500 0.000
Pm: 0.500 0.000 0.500
Nd: 0.255 0.428 0.363
Nd: 0.428 0.255 0.863
Nd: 0.572 0.745 0.137
Nd: 0.745 0.572 0.637
Dy: 0.297 0.703 0.750
Dy: 0.703 0.297 0.250

---

HgSb5Pb6 | GGA-PBE | optimized geometry

Formation energy (no corrections) in eV per atom: 0.05
Space group: No. 12
Theoretical density in g/cm³: 8.6
Total magnetic moment in μB/f.u.: 0.0

abc: 7.891 7.891 7.825
angles: 99.45 99.45 120.52
Positions (direct):
Hg: 0.000 0.000 0.000
Sb: 0.160 0.840 0.500
Sb: 0.331 0.669 0.000
Sb: 0.500 0.500 0.500
Sb: 0.669 0.331 0.000
Sb: 0.840 0.160 0.500
Pb: 0.091 0.444 0.265
Pb: 0.270 0.270 0.755
Pb: 0.444 0.091 0.265
Pb: 0.556 0.909 0.735
Pb: 0.730 0.730 0.245
Pb: 0.909 0.556 0.735

---

Sc2SiAu | GGA-PBE | optimized geometry

Formation energy (no corrections) in eV per atom: -0.47
Space group: No. 166
Theoretical density in g/cm³: 6.4
Total magnetic moment in μB/f.u.: 0.0

abc: 8.044 8.044 8.044
angles: 25.07 25.07 25.07
Positions (direct):
Sc: 0.245 0.245 0.245
Sc: 0.755 0.755 0.755
Si: 0.500 0.500 0.500
Au: 0.000 0.000 0.000

---

Sm2Y2HoSc | GGA-PBE | optimized geometry

Space group: No. 51
Energy of formation from the pure elements in kJ per mole of atoms: 6.3
Theoretical density in g/cm³: 6.1
Total magnetic moment in μB/f.u.: 0.0

abc: 7.009 5.561 9.615
angles: 90.00 90.00 90.00
Positions (direct):
Sm: 0.250 0.000 0.149
Sm: 0.250 0.500 0.684
Sm: 0.750 0.000 0.851
Sm: 0.750 0.500 0.316
Y: 0.000 0.000 0.500
Y: 0.250 0.500 0.343
Y: 0.500 0.000 0.500
Y: 0.750 0.500 0.657
Ho: 0.000 0.500 0.000
Ho: 0.500 0.500 0.000
Sc: 0.250 0.000 0.822
Sc: 0.750 0.000 0.178

---

ScHRh3 | GGA-PBE | optimized geometry

Space group: No. 148
ΔE to the lowest computed polymorph in meV per atom: 455.6
Theoretical density in g/cm³: 8.6
Total magnetic moment in μB/f.u.: 0.0

abc: 7.204 7.204 7.204
angles: 39.70 39.70 39.70
Positions (direct):
Sc: 0.172 0.172 0.172
Sc: 0.828 0.828 0.828
H: 0.303 0.303 0.303
H: 0.697 0.697 0.697
Rh: 0.086 0.723 0.375
Rh: 0.277 0.625 0.914
Rh: 0.375 0.086 0.723
Rh: 0.625 0.914 0.277
Rh: 0.723 0.375 0.086
Rh: 0.914 0.277 0.625

---

CsSbF3 | GGA-PBE | optimized geometry

Formation energy (no corrections) in eV per atom: -2.07
Space group: No. 221
ΔE to the lowest computed polymorph in meV per atom: 242.9
Theoretical density in g/cm³: 4.7
Total magnetic moment in μB/f.u.: 0.0

abc: 4.783 4.783 4.783
angles: 90.00 90.00 90.00
Positions (direct):
Cs: 0.000 0.000 0.000
Sb: 0.500 0.500 0.500
F: 0.000 0.500 0.500
F: 0.500 0.000 0.500
F: 0.500 0.500 0.000

---

Pm2ZnRuC | GGA-PBE | optimized geometry

Space group: No. 123
Energy of formation from the pure elements in kJ per mole of atoms: -29.3
Theoretical density in g/cm³: 7.5
Total magnetic moment in μB/f.u.: 0.0

abc: 5.156 5.156 3.902
angles: 90.00 90.00 90.00
Positions (direct):
Pm: 0.000 0.500 0.000
Pm: 0.500 0.000 0.000
Zn: 0.000 0.000 0.500
Ru: 0.500 0.500 0.500
C: 0.500 0.500 0.000